No. 1
## TaPdO2 (GGA-PBEsol)

Data for TaPdO2 after structural relaxation.

The structure belongs to space group R-3m (No. 166, hexagonal axes); the cell edges are 2.8731, 2.8731 and 20.0673 Å and the angles 90.00°, 90.00° and 120.00°. Symmetry generates all atoms from Ta at (0.0000, 0.0000, 0.0000), Pd at (0.0000, 0.0000, 0.5000) and O at (0.0000, 0.0000, 0.3984).

The density comes out at 11.1 g cm⁻³.

---

No. 2
## Zn2PSe (GGA-PBEsol)

Data for Zn2PSe after structural relaxation.

The structure belongs to space group Immm (No. 71); the cell edges are 2.516, 4.984 and 10.806 Å and the angles 90.00°, 90.00° and 90.00°. Symmetry generates all atoms from Zn at (0.000, 0.000, 0.225), P at (0.000, 0.500, 0.500) and Se at (0.000, 0.500, 0.000).

The density comes out at 5.9 g cm⁻³.

---

No. 3
## BeMo3P (GGA-PBEsol)

Data for BeMo3P after structural relaxation.

The structure belongs to space group Pm-3m (No. 221); the cell edges are 4.376, 4.376 and 4.376 Å and the angles 90.00°, 90.00° and 90.00°. Symmetry generates all atoms from Be at (0.000, 0.000, 0.000), Mo at (0.000, 0.500, 0.500) and P at (0.500, 0.500, 0.500).

The density comes out at 6.5 g cm⁻³.

---

No. 4
## La3CuGeS7 (GGA-PBEsol)

Data for La3CuGeS7 after structural relaxation.

The structure belongs to space group P6_3 (No. 173); the cell edges are 10.2153, 10.2153 and 5.8144 Å and the angles 90.00°, 90.00° and 120.00°. Symmetry generates all atoms from La at (0.1275, 0.7707, 0.0000), Cu at (0.0000, 0.0000, 0.0236), Ge at (0.3333, 0.6667, 0.4185), S at (0.0890, 0.8397, 0.5129), S at (0.1042, 0.5207, 0.2683) and S at (0.3333, 0.6667, 0.7945).

The density comes out at 4.9 g cm⁻³.

---

no.,raw total energy (eV for the cell shown)
1,-105.28
2,-23.20
3,-40.66
4,-150.38